(1)
Computed, not measured: a relaxed structure of Na4NdSm3S8 at the GGA-PBE level of DFT.

Geometry as POSCAR:
```
Na4NdSm3S8
1.0
4.092 2.363 6.691
-4.092 2.363 6.691
0.000 -4.725 6.691
Na Nd Sm S
4 1 3 8
Direct
0.000 0.000 0.000
0.000 0.500 0.500
0.500 0.000 0.500
0.500 0.500 0.000
0.500 0.500 0.500
0.000 0.000 0.500
0.000 0.500 0.000
0.500 0.000 0.000
0.241 0.745 0.745
0.244 0.244 0.244
0.255 0.255 0.759
0.255 0.759 0.255
0.745 0.241 0.745
0.745 0.745 0.241
0.756 0.756 0.756
0.759 0.255 0.255
```

Calculated values
Fermi-level density of states: 0.0 states/eV per cell
Magnetization: 0.00 μB/f.u.
Energy relative to the elements, uncorrected: -1.810 eV/atom
Calculated volume: 388.2 Å³/cell



(2)
Computed, not measured: a relaxed structure of Hg2AsSe at the GGA-PBE level of DFT.

Geometry as POSCAR:
```
Hg2AsSe
1.0
3.667 -4.599 0.000
3.667 4.599 0.000
-3.490 0.000 3.792
Hg As Se
2 1 1
Direct
0.000 0.000 0.000
0.800 0.200 0.500
0.507 0.493 0.500
0.424 0.576 0.000
```

Calculated values
Fermi-level density of states: 0.4 states/eV per cell
Magnetization: 0.00 μB/f.u.
Energy relative to the elements, uncorrected: 0.096 eV/atom
Calculated volume: 127.9 Å³/cell



What did the first record say?
Computed, not measured: a relaxed structure of Na4NdSm3S8 at the GGA-PBE level of DFT.

Geometry as POSCAR:
```
Na4NdSm3S8
1.0
4.092 2.363 6.691
-4.092 2.363 6.691
0.000 -4.725 6.691
Na Nd Sm S
4 1 3 8
Direct
0.000 0.000 0.000
0.000 0.500 0.500
0.500 0.000 0.500
0.500 0.500 0.000
0.500 0.500 0.500
0.000 0.000 0.500
0.000 0.500 0.000
0.500 0.000 0.000
0.241 0.745 0.745
0.244 0.244 0.244
0.255 0.255 0.759
0.255 0.759 0.255
0.745 0.241 0.745
0.745 0.745 0.241
0.756 0.756 0.756
0.759 0.255 0.255
```

Calculated values
Fermi-level density of states: 0.0 states/eV per cell
Magnetization: 0.00 μB/f.u.
Energy relative to the elements, uncorrected: -1.810 eV/atom
Calculated volume: 388.2 Å³/cell



- Which of these has the highest energy relative to the elements, uncorrected?
  Hg2AsSe



- The lowest calculated volume belongs to which entry?
  Hg2AsSe



What did the second record say?
Computed, not measured: a relaxed structure of Hg2AsSe at the GGA-PBE level of DFT.

Geometry as POSCAR:
```
Hg2AsSe
1.0
3.667 -4.599 0.000
3.667 4.599 0.000
-3.490 0.000 3.792
Hg As Se
2 1 1
Direct
0.000 0.000 0.000
0.800 0.200 0.500
0.507 0.493 0.500
0.424 0.576 0.000
```

Calculated values
Fermi-level density of states: 0.4 states/eV per cell
Magnetization: 0.00 μB/f.u.
Energy relative to the elements, uncorrected: 0.096 eV/atom
Calculated volume: 127.9 Å³/cell